[1]
Computed, not measured: a geometry-optimized Pm4AgHg2 structure at the PBE level of DFT.

Unit cell a=9.336 b=9.336 c=9.418 alpha=90.00 beta=90.00 gamma=90.00
Space group I-42d (No. 122)
Inequivalent atoms, fractional coordinates:
Pm1 0.074 0.679 0.448 [16 per cell]
Ag1 0.000 0.000 0.500 [4 per cell]
Hg1 0.124 0.750 0.125 [8 per cell]

Values from the calculation:
- V: 820.9 Å³/cell
- ΔH_f (0 K): -0.244 eV/atom
- Polymorph energy (0 for the lowest one): 0.011 eV/atom

---

[2]
Computed, not measured: a geometry-optimized PmAg4Hg2 structure at the PBE level of DFT.

Unit cell a=9.102 b=7.257 c=5.655 alpha=90.00 beta=126.48 gamma=90.00
Space group C2/m (No. 12)
Inequivalent atoms, fractional coordinates:
Pm1 0.000 0.000 0.000 [2 per cell]
Ag1 0.191 0.192 0.686 [8 per cell]
Hg1 0.012 0.500 0.762 [4 per cell]

Values from the calculation:
- V: 300.4 Å³/cell
- ΔH_f (0 K): -0.105 eV/atom

---

[3]
Computed, not measured: a geometry-optimized Pm4Ag5Hg structure at the PBE level of DFT.

Unit cell a=3.713 b=3.713 c=18.069 alpha=90.00 beta=90.00 gamma=90.00
Space group P4/mmm (No. 123)
Inequivalent atoms, fractional coordinates:
Pm1 0.000 0.000 0.104 [2 per cell]
Pm2 0.000 0.000 0.314 [2 per cell]
Ag1 0.500 0.500 0.000 [1 per cell]
Ag2 0.500 0.500 0.208 [2 per cell]
Ag3 0.500 0.500 0.413 [2 per cell]
Hg1 0.000 0.000 0.500 [1 per cell]

Values from the calculation:
- V: 249.1 Å³/cell
- ΔH_f (0 K): -0.220 eV/atom

---

[4]
Computed, not measured: a geometry-optimized Pm3AgHg4 structure at the PBE level of DFT.

Unit cell a=5.1649 b=5.1649 c=27.0370 alpha=90.00 beta=90.00 gamma=120.00
Space group R-3m (No. 166, hexagonal axes)
Inequivalent atoms, fractional coordinates:
Pm1 0.0000 0.0000 0.0000 [3 per cell]
Pm2 0.0000 0.0000 0.2403 [6 per cell]
Ag1 0.0000 0.0000 0.5000 [3 per cell]
Hg1 0.0000 0.0000 0.1250 [6 per cell]
Hg2 0.0000 0.0000 0.3742 [6 per cell]

Values from the calculation:
- V: 624.6 Å³/cell
- ΔH_f (0 K): -0.393 eV/atom
- Polymorph energy (0 for the lowest one): 0.021 eV/atom

---

[5]
Computed, not measured: a geometry-optimized Pm3Ag2Hg4 structure at the PBE level of DFT.

Unit cell a=9.379 b=5.266 c=9.187 alpha=90.00 beta=97.77 gamma=90.00
Space group C2/m (No. 12)
Inequivalent atoms, fractional coordinates:
Pm1 0.000 0.000 0.000 [2 per cell]
Pm2 0.126 0.500 0.721 [4 per cell]
Ag1 0.222 0.500 0.399 [4 per cell]
Hg1 0.053 0.000 0.350 [4 per cell]
Hg2 0.180 0.500 0.079 [4 per cell]

Values from the calculation:
- V: 449.5 Å³/cell
- ΔH_f (0 K): -0.377 eV/atom
- Polymorph energy (0 for the lowest one): 0.019 eV/atom

---

[6]
Computed, not measured: a geometry-optimized Pm5AgHg8 structure at the PBE level of DFT.

Unit cell a=9.163 b=9.163 c=9.064 alpha=90.00 beta=90.00 gamma=90.00
Space group I-4 (No. 82)
Inequivalent atoms, fractional coordinates:
Pm1 0.000 0.000 0.000 [2 per cell]
Pm2 0.112 0.751 0.360 [8 per cell]
Ag1 0.000 0.500 0.750 [2 per cell]
Hg1 0.077 0.663 0.021 [8 per cell]
Hg2 0.084 0.810 0.703 [8 per cell]

Values from the calculation:
- V: 760.9 Å³/cell
- ΔH_f (0 K): -0.350 eV/atom

---

[7]
Computed, not measured: a geometry-optimized Pm6AgHg5 structure at the PBE level of DFT.

Unit cell a=5.345 b=16.048 c=7.654 alpha=90.00 beta=90.00 gamma=90.00
Space group Cmmm (No. 65)
Inequivalent atoms, fractional coordinates:
Pm1 0.000 0.000 0.248 [4 per cell]
Pm2 0.000 0.334 0.249 [8 per cell]
Ag1 0.000 0.500 0.000 [2 per cell]
Hg1 0.000 0.167 0.000 [4 per cell]
Hg2 0.000 0.167 0.500 [4 per cell]
Hg3 0.000 0.500 0.500 [2 per cell]

Values from the calculation:
- V: 656.6 Å³/cell
- ΔH_f (0 K): -0.439 eV/atom
- Polymorph energy (0 for the lowest one): 0.000 eV/atom

---

[8]
Computed, not measured: a geometry-optimized Pm6AgHg5 structure at the PBE level of DFT.

Unit cell a=7.009 b=11.231 c=9.234 alpha=90.00 beta=101.48 gamma=90.00
Space group C2/m (No. 12)
Inequivalent atoms, fractional coordinates:
Pm1 0.228 0.000 0.215 [4 per cell]
Pm2 0.236 0.169 0.735 [8 per cell]
Ag1 0.000 0.500 0.000 [2 per cell]
Hg1 0.000 0.000 0.500 [2 per cell]
Hg2 0.000 0.208 0.000 [4 per cell]
Hg3 0.000 0.364 0.500 [4 per cell]

Values from the calculation:
- V: 712.3 Å³/cell
- ΔH_f (0 K): -0.273 eV/atom
- Polymorph energy (0 for the lowest one): 0.166 eV/atom